First-principles (GGA-PBE) data for a geometry-optimized Ta6V3Ni3C2 structure, as listed in Alexandria.

```
Ta6V3Ni3C2
1.0
-4.073 4.086 5.778
4.073 -4.086 5.778
4.073 4.086 -5.778
Ta V Ni C
12 6 6 4
Cartesian
0.000 0.000 0.000
2.526 2.534 -3.543
1.547 -1.552 2.235
4.073 0.000 1.488
2.524 1.550 -0.647
5.623 1.550 -0.647
0.000 0.000 4.373
2.526 5.637 -3.543
1.547 1.552 2.235
0.000 4.086 2.868
-1.550 2.536 5.130
1.550 2.536 5.130
4.073 -2.027 3.608
0.000 2.764 0.273
4.073 2.027 3.608
2.101 4.086 0.778
1.972 0.000 6.555
0.000 5.407 0.273
1.276 4.086 -1.578
2.798 0.000 4.199
4.073 2.813 1.335
0.000 1.273 7.113
2.766 4.086 3.165
1.307 0.000 8.942
2.029 0.000 0.797
4.073 2.047 -2.102
6.117 0.000 0.797
0.000 2.039 3.676
```

Computed properties:
Its calculated volume is 385 Å³ per cell. The calculation puts the density of states at the Fermi level at 23.00 states/eV per cell. The value obtained for the calculated formation energy is -0.398 eV per atom. Its symmetry is No. 44.